(A)
## BaBeOF2 (PBE)

Data for a relaxed BaBeOF2 crystal.

Calculated values
total magnetization	0.00	μB per cell

Lattice parameters (Å, degrees): 4.966 4.966 4.939 90.00 90.00 90.00
Space group P4/mmm (No. 123)
One atom of each set of equivalent atoms:
Ba (0.000, 0.000, 0.000) [1 per cell]
Be (0.500, 0.500, 0.500) [1 per cell]
O (0.000, 0.000, 0.500) [1 per cell]
F (0.000, 0.500, 0.000) [2 per cell]

***

(B)
## BaBeOF2 (PBE)

Data for a relaxed BaBeOF2 crystal.

Calculated values
total magnetization	0.00	μB per cell

Lattice parameters (Å, degrees): 4.272 4.272 3.357 90.00 90.00 90.00
Space group P4/mmm (No. 123)
One atom of each set of equivalent atoms:
Ba (0.000, 0.000, 0.000) [1 per cell]
Be (0.500, 0.500, 0.500) [1 per cell]
O (0.500, 0.500, 0.000) [1 per cell]
F (0.000, 0.500, 0.500) [2 per cell]

***

Name the most stable of them. (B).